First-principles (GGA-PBE) data for an optimized crystal structure of ReOs2Se, as listed in Alexandria via LeMat-Bulk.

The calculated total energy is -109.7 eV/cell. Its spin magnetization is 0.000 μB per atom. The calculation puts the raw formation energy at 43.85 kJ per mole of atoms. Its crystal system is trigonal. For the density of states at the Fermi level, the calculation gives 3.25 states/eV/f.u.

Cell: 2.8517 2.8517 25.4458 Å, 90.00 90.00 120.00°
Space group R3m (No. 160, hexagonal axes)
Inequivalent atoms, fractional coordinates:
1 Re 0.0000 0.0000 0.0000
2 Os 0.0000 0.0000 0.2490
3 Os 0.0000 0.0000 0.4978
4 Se 0.0000 0.0000 0.7489